A relaxed ScCrTe2F crystal. Source: the Alexandria database, functional GGA+U.

SG = P4/mmm (123)
raw total energy = -0.27412 Ry/atom

a b c (Å): 5.337 5.337 5.195
angles (deg): 90.00 90.00 90.00
Positions (direct):
Sc: 0.000 0.000 0.000
Cr: 0.000 0.000 0.500
Te: 0.000 0.500 0.000
Te: 0.500 0.000 0.000
F: 0.500 0.500 0.500